A crystal of TaIr2Rh relaxed with PBEsol. Source: Alexandria via LeMat-Bulk, functional meta-GGA SCAN.

## Properties
crystal system = tetragonal
excess energy over the best structure of this formula in the dataset = 0 meV per atom
Fermi-level density of states = 1.16 states/eV per cell
raw total energy = -61.430 eV/atom
space-group type = No. 123
energy of formation = -305 kJ/mol of formula units

abc: 3.876 3.876 3.858
angles: 90.00 90.00 90.00
Fractional coordinates of all 4 atoms:
Ta: 0.000 0.000 0.000
Ir: 0.000 0.500 0.500
Ir: 0.500 0.000 0.500
Rh: 0.500 0.500 0.000